Entry 1:
Here is a relaxed structure of HoAg5Pd6 from Alexandria via LeMat-Bulk. Energies are from GGA-PBE.

DFT total energy = -53.311 eV for the cell shown
volume = 17.13 Å³/atom
total magnetic moment = 0.000 μB/cell
crystal system = monoclinic
formation energy = -320 kJ/mol of formula units

abc: 4.8280 6.0473 7.0847
angles: 90.00 96.42 90.00
Last column: nearest neighbours and their distance in Å.
Fractional coordinates of all 12 atoms:
Ho 0.0000 0.0000 0.0000  8 Pd 2.85-2.86, 4 Ag 3.02-3.05
Ag 0.0000 0.5000 0.0000  8 Pd 2.83-2.84, 2 Ag 3.01, 2 Ho 3.02
Ag 0.3399 0.5000 0.6691  8 Pd 2.81-2.86, 4 Ag 2.99-3.02
Ag 0.3436 0.0000 0.6636  8 Pd 2.84-2.87, 3 Ag 2.90-3.02, 1 Ho 3.05
Ag 0.6564 0.0000 0.3364  8 Pd 2.84-2.87, 3 Ag 2.90-3.02, 1 Ho 3.05
Ag 0.6601 0.5000 0.3309  8 Pd 2.81-2.86, 4 Ag 2.99-3.02
Pd 0.1592 0.2519 0.3339  7 Ag 2.83-2.87, 1 Ho 2.85, 4 Pd 2.95-3.05
Pd 0.1592 0.7481 0.3339  7 Ag 2.83-2.87, 1 Ho 2.85, 4 Pd 2.95-3.05
Pd 0.5000 0.2538 0.0000  6 Ag 2.81-2.86, 2 Ho 2.86, 4 Pd 2.98-3.07
Pd 0.5000 0.7462 0.0000  6 Ag 2.81-2.86, 2 Ho 2.86, 4 Pd 2.98-3.07
Pd 0.8408 0.2519 0.6661  7 Ag 2.83-2.87, 1 Ho 2.85, 4 Pd 2.95-3.05
Pd 0.8408 0.7481 0.6661  7 Ag 2.83-2.87, 1 Ho 2.85, 4 Pd 2.95-3.05

***

Entry 2:
Here is a relaxed structure of K6PbI8 from Alexandria via LeMat-Bulk. Energies are from GGA-PBE.

DFT total energy = -41.949 eV for the cell shown
uncorrected formation energy = -1858 kJ/mol of formula units
volume = 45.53 Å³/atom
total magnetic moment = 0.000 μB/cell
crystal system = trigonal

abc: 9.3380 9.3380 9.3380
angles: 68.86 68.86 68.86
Last column: nearest neighbours and their distance in Å.
Fractional coordinates of all 15 atoms:
K 0.0238 0.4405 0.8037  7 I 3.57-3.81
K 0.1963 0.9762 0.5595  7 I 3.57-3.81
K 0.4405 0.8037 0.0238  7 I 3.57-3.81
K 0.5595 0.1963 0.9762  7 I 3.57-3.81
K 0.8037 0.0238 0.4405  7 I 3.57-3.81
K 0.9762 0.5595 0.1963  7 I 3.57-3.81
Pb 0.5000 0.5000 0.5000  6 I 3.27
I 0.1611 0.1611 0.1611  6 K 3.57-3.74
I 0.1645 0.6700 0.3992  1 Pb 3.27, 3 K 3.59-3.63
I 0.3300 0.6008 0.8355  1 Pb 3.27, 3 K 3.59-3.63
I 0.3992 0.1645 0.6700  1 Pb 3.27, 3 K 3.59-3.63
I 0.6008 0.8355 0.3300  1 Pb 3.27, 3 K 3.59-3.63
I 0.6700 0.3992 0.1645  1 Pb 3.27, 3 K 3.59-3.63
I 0.8355 0.3300 0.6008  1 Pb 3.27, 3 K 3.59-3.63
I 0.8389 0.8389 0.8389  6 K 3.57-3.74

***

Entry 3:
Here is a relaxed structure of CaMg2Cu2Si2 from Alexandria via LeMat-Bulk. Energies are from GGA-PBE.

DFT total energy = -26.406 eV for the cell shown
uncorrected formation energy = -210 kJ/mol of formula units
volume = 18.21 Å³/atom
total magnetic moment = 0.000 μB/cell
crystal system = trigonal

abc: 8.6758 8.6758 8.6758
angles: 28.04 28.04 28.04
Last column: nearest neighbours and their distance in Å.
Fractional coordinates of all 7 atoms:
Ca 0.0000 0.0000 0.0000  6 Si 3.18, 6 Cu 3.23, 2 Mg 3.35
Mg 0.1339 0.1339 0.1339  3 Cu 2.72, 4 Si 2.75-2.93, 3 Mg 2.93
Mg 0.8661 0.8661 0.8661  3 Cu 2.72, 4 Si 2.75-2.93, 3 Mg 2.93
Cu 0.4185 0.4185 0.4185  3 Si 2.43, 3 Mg 2.72
Cu 0.5815 0.5815 0.5815  3 Si 2.43, 3 Mg 2.72
Si 0.2510 0.2510 0.2510  3 Cu 2.43
Si 0.7490 0.7490 0.7490  3 Cu 2.43

***

Entry 4:
Here is a relaxed structure of PmPdS2 from Alexandria via LeMat-Bulk. Energies are from GGA-PBE.

DFT total energy = -59.104 eV for the cell shown
uncorrected formation energy = -145 kJ/mol of formula units
volume = 23.65 Å³/atom
total magnetic moment = 0.000 μB/cell
energy relative to the lowest polymorph listed for this composition = 740 meV per atom
crystal system = trigonal

abc: 3.7066 3.7066 23.8550
angles: 90.00 90.00 120.00
Last column: nearest neighbours and their distance in Å.
Fractional coordinates of all 12 atoms:
Pm 0.0000 0.0000 0.0000  2 S 2.74
Pm 0.3333 0.6667 0.6667  2 S 2.74
Pm 0.6667 0.3333 0.3333  2 S 2.74
Pd 0.0000 0.0000 0.5000  6 S 2.47
Pd 0.3333 0.6667 0.1667  6 S 2.47
Pd 0.6667 0.3333 0.8333  6 S 2.47
S 0.0000 0.0000 0.1150  3 Pd 2.47, 1 Pm 2.74
S 0.0000 0.0000 0.8850  3 Pd 2.47, 1 Pm 2.74
S 0.3333 0.6667 0.5517  3 Pd 2.47, 1 Pm 2.74
S 0.3333 0.6667 0.7817  3 Pd 2.47, 1 Pm 2.74
S 0.6667 0.3333 0.2183  3 Pd 2.47, 1 Pm 2.74
S 0.6667 0.3333 0.4483  3 Pd 2.47, 1 Pm 2.74

***

Entry 5:
Here is a relaxed structure of ReTcO2 from Alexandria via LeMat-Bulk. Energies are from GGA-PBE.

DFT total energy = -106.668 eV for the cell shown
uncorrected formation energy = -273 kJ/mol of formula units
volume = 11.00 Å³/atom
total magnetic moment = 0.000 μB/cell
energy relative to the lowest polymorph listed for this composition = 0 meV per atom
crystal system = trigonal

abc: 2.7254 2.7254 20.5245
angles: 90.00 90.00 120.00
Last column: nearest neighbours and their distance in Å.
Fractional coordinates of all 12 atoms:
Re 0.0000 0.0000 0.0000  2 O 2.03
Re 0.3333 0.6667 0.6667  2 O 2.03
Re 0.6667 0.3333 0.3333  2 O 2.03
Tc 0.0000 0.0000 0.5000  6 O 2.10
Tc 0.3333 0.6667 0.1667  6 O 2.10
Tc 0.6667 0.3333 0.8333  6 O 2.10
O 0.0000 0.0000 0.0990  1 Re 2.03, 3 Tc 2.10
O 0.0000 0.0000 0.9010  1 Re 2.03, 3 Tc 2.10
O 0.3333 0.6667 0.5676  1 Re 2.03, 3 Tc 2.10
O 0.3333 0.6667 0.7657  1 Re 2.03, 3 Tc 2.10
O 0.6667 0.3333 0.2343  1 Re 2.03, 3 Tc 2.10
O 0.6667 0.3333 0.4324  1 Re 2.03, 3 Tc 2.10

***

Entry 6:
Here is a relaxed structure of Bi4I2F5 from Alexandria via LeMat-Bulk. Energies are from GGA-PBE.

DFT total energy = -43.232 eV for the cell shown
uncorrected formation energy = -1472 kJ/mol of formula units
volume = 28.13 Å³/atom
total magnetic moment = 0.000 μB/cell
crystal system = monoclinic

abc: 7.2796 7.2796 9.2386
angles: 118.84 118.84 48.10
Last column: nearest neighbours and their distance in Å.
Fractional coordinates of all 11 atoms:
Bi 0.0969 0.0969 0.4637  1 Bi 2.99, 2 I 3.15
Bi 0.1451 0.1451 0.9299  5 F 2.30-2.34
Bi 0.8549 0.8549 0.0701  5 F 2.30-2.34
Bi 0.9031 0.9031 0.5363  1 Bi 2.99, 2 I 3.15
I 0.4337 0.4337 0.6683  2 Bi 3.15
I 0.5663 0.5663 0.3317  2 Bi 3.15
F 0.0000 0.0000 0.0000  2 Bi 2.34
F 0.0085 0.4896 0.8577  2 Bi 2.30-2.32
F 0.4896 0.0085 0.8577  2 Bi 2.30-2.32
F 0.5104 0.9915 0.1423  2 Bi 2.30-2.32
F 0.9915 0.5104 0.1423  2 Bi 2.30-2.32

***

Entry 7:
Here is a relaxed structure of Fe2CuAgPd from Alexandria via LeMat-Bulk. Energies are from GGA-PBE.

DFT total energy = -21.253 eV for the cell shown
volume = 21.51 Å³/atom
total magnetic moment = 6.496 μB/cell
crystal system = tetragonal
formation energy = 754 kJ/mol of formula units

abc: 4.6648 4.6648 4.9415
angles: 90.00 90.00 90.00
Last column: nearest neighbours and their distance in Å.
Fractional coordinates of all 5 atoms:
Fe 0.0000 0.5000 0.0000  2 Ag 2.33
Fe 0.5000 0.0000 0.0000  2 Ag 2.33
Cu 0.0000 0.0000 0.5000  4 Pd 3.30, 8 Fe 3.40
Ag 0.5000 0.5000 0.0000  4 Fe 2.33, 2 Pd 2.47
Pd 0.5000 0.5000 0.5000  2 Ag 2.47

***

Entry 8:
Here is a relaxed structure of MnAlCl2 from Alexandria via LeMat-Bulk. Energies are from GGA-PBE.

DFT total energy = -36.207 eV for the cell shown
uncorrected formation energy = -145 kJ/mol of formula units
volume = 24.74 Å³/atom
total magnetic moment = 7.955 μB/cell
energy relative to the lowest polymorph listed for this composition = 260 meV per atom
crystal system = monoclinic

abc: 13.7934 3.1289 4.6298
angles: 90.00 97.92 90.00
Last column: nearest neighbours and their distance in Å.
Fractional coordinates of all 8 atoms:
Mn 0.0000 0.0000 0.0000  4 Cl 2.54, 4 Al 2.79
Mn 0.5000 0.5000 0.0000  4 Cl 2.54, 4 Al 2.79
Al 0.0000 0.5000 0.5000  2 Cl 2.48
Al 0.5000 0.0000 0.5000  2 Cl 2.48
Cl 0.1372 0.5000 0.2073  1 Al 2.48, 2 Mn 2.54
Cl 0.3628 0.0000 0.7927  1 Al 2.48, 2 Mn 2.54
Cl 0.6372 0.0000 0.2073  1 Al 2.48, 2 Mn 2.54
Cl 0.8628 0.5000 0.7927  1 Al 2.48, 2 Mn 2.54

***

Entry 9:
Here is a relaxed structure of LiPuZnCd from Alexandria via LeMat-Bulk. Energies are from GGA-PBE.

DFT total energy = -18.928 eV for the cell shown
volume = 19.50 Å³/atom
total magnetic moment = 5.794 μB/cell
energy relative to the lowest polymorph listed for this composition = 0 meV per atom
crystal system = tetragonal
formation energy = -48 kJ/mol of formula units

abc: 3.0776 3.0776 8.2359
angles: 90.00 90.00 90.00
Last column: nearest neighbours and their distance in Å.
Fractional coordinates of all 4 atoms:
Li 0.0000 0.0000 0.0000  4 Zn 2.68, 4 Cd 2.87
Pu 0.0000 0.0000 0.5394  4 Pu 3.08, 4 Zn 3.11, 4 Cd 3.37
Zn 0.5000 0.5000 0.8100  4 Li 2.68
Cd 0.5000 0.5000 0.2272  4 Li 2.87, 4 Cd 3.08

***

Entry 10:
Here is a relaxed structure of CaPrPa2N4 from Alexandria via LeMat-Bulk. Energies are from GGA-PBE.

DFT total energy = -141.155 eV for the cell shown
uncorrected formation energy = -1110 kJ/mol of formula units
volume = 15.85 Å³/atom
total magnetic moment = 0.000 μB/cell
crystal system = tetragonal

abc: 5.0346 5.0346 10.0079
angles: 90.00 90.00 90.00
Last column: nearest neighbours and their distance in Å.
Fractional coordinates of all 16 atoms:
Ca 0.0000 0.0000 0.0000  6 N 2.53-2.70
Ca 0.5000 0.5000 0.5000  6 N 2.53-2.70
Pr 0.0000 0.5000 0.7500  6 N 2.53-2.71
Pr 0.5000 0.0000 0.2500  6 N 2.53-2.71
Pa 0.0000 0.0000 0.5000  6 N 2.30-2.53
Pa 0.0000 0.5000 0.2500  6 N 2.30-2.53
Pa 0.5000 0.0000 0.7500  6 N 2.30-2.53
Pa 0.5000 0.5000 0.0000  6 N 2.30-2.53
N 0.0000 0.0000 0.2702  3 Pa 2.30-2.53, 2 Pr 2.53
N 0.0000 0.0000 0.7298  3 Pa 2.30-2.53, 2 Pr 2.53
N 0.0000 0.5000 0.0205  3 Pa 2.30-2.53, 2 Ca 2.53
N 0.0000 0.5000 0.4795  3 Pa 2.30-2.53, 2 Ca 2.53
N 0.5000 0.0000 0.5205  3 Pa 2.30-2.53, 2 Ca 2.53
N 0.5000 0.0000 0.9795  3 Pa 2.30-2.53, 2 Ca 2.53
N 0.5000 0.5000 0.2298  3 Pa 2.30-2.53, 2 Pr 2.53
N 0.5000 0.5000 0.7702  3 Pa 2.30-2.53, 2 Pr 2.53

***

Entry 11:
Here is a relaxed structure of Th4TlBi2Sb from Alexandria via LeMat-Bulk. Energies are from GGA-PBE.

DFT total energy = -48.056 eV for the cell shown
uncorrected formation energy = -398 kJ/mol of formula units
volume = 33.60 Å³/atom
total magnetic moment = 0.000 μB/cell
crystal system = monoclinic

abc: 7.8734 4.5688 7.9262
angles: 90.00 109.46 90.00
Last column: nearest neighbours and their distance in Å.
Fractional coordinates of all 8 atoms:
Th 0.2446 0.0000 0.2391  2 Tl 3.18, 1 Sb 3.19, 3 Bi 3.26-3.28
Th 0.2527 0.5000 0.7608  1 Tl 3.17, 2 Sb 3.18, 3 Bi 3.27-3.28
Th 0.7473 0.5000 0.2392  1 Tl 3.17, 2 Sb 3.18, 3 Bi 3.27-3.28
Th 0.7554 0.0000 0.7609  2 Tl 3.18, 1 Sb 3.19, 3 Bi 3.26-3.28
Tl 0.0000 0.5000 0.0000  6 Th 3.17-3.18
Bi 0.0000 0.0000 0.5000  6 Th 3.26-3.27
Bi 0.5000 0.5000 0.5000  6 Th 3.28
Sb 0.5000 0.0000 0.0000  6 Th 3.18-3.19

***

Entry 12:
Here is a relaxed structure of BeHgCl from Alexandria via LeMat-Bulk. Energies are from GGA-PBE.

DFT total energy = -10.913 eV for the cell shown
uncorrected formation energy = 40 kJ/mol of formula units
volume = 21.77 Å³/atom
total magnetic moment = 0.000 μB/cell
energy relative to the lowest polymorph listed for this composition = 326 meV per atom
crystal system = tetragonal

abc: 3.0308 3.0308 14.2172
angles: 90.00 90.00 90.00
Last column: nearest neighbours and their distance in Å.
Fractional coordinates of all 6 atoms:
Be 0.0000 0.0000 0.0000  4 Cl 2.45
Be 0.5000 0.5000 0.5000  4 Cl 2.45
Hg 0.0000 0.0000 0.3650  4 Be 2.88, 4 Hg 3.03, 1 Cl 3.12
Hg 0.5000 0.5000 0.8650  4 Be 2.88, 4 Hg 3.03, 1 Cl 3.12
Cl 0.0000 0.0000 0.5842  4 Be 2.45
Cl 0.5000 0.5000 0.0842  4 Be 2.45